Entry 1:
meta-GGA SCAN ZrScTc2, single point on PBEsol structure; E_form = 2 kJ/mol of atoms; Fermi-level density of states = 0.902 states/eV/atom; space-group type = R-3m, No. 166; mass density = 8.0 Mg/m³
1.0
1.561 0.901 8.141
-1.561 0.901 8.141
0.000 -1.802 8.141
Zr Sc Tc
1 1 2
Direct
0.000 0.000 0.000
0.500 0.500 0.500
0.251 0.251 0.251
0.749 0.749 0.749

---

Entry 2:
meta-GGA SCAN ZrScTc2, single point on PBEsol structure; E_form = -11 kJ/mol of atoms; Fermi-level density of states = 0.757 states/eV/atom; space-group type = C2/m, No. 12; mass density = 8.3 Mg/m³
1.0
2.917 -4.270 0.000
2.917 4.270 0.000
-1.124 0.000 2.678
Zr Sc Tc
1 1 2
Direct
0.000 0.000 0.000
0.500 0.500 0.000
0.000 0.500 0.500
0.500 0.000 0.500

---

Entry 3:
meta-GGA SCAN ZrSc3Tc, single point on PBEsol structure; E_form = 129 kJ/mol of atoms; Fermi-level density of states = 1.328 states/eV/atom; space-group type = Pm-3m, No. 221; mass density = 4.8 Mg/m³
1.0
4.837 0.000 0.000
0.000 4.837 0.000
0.000 0.000 4.837
Zr Sc Tc
1 3 1
Direct
0.000 0.000 0.000
0.000 0.000 0.500
0.000 0.500 0.000
0.500 0.000 0.000
0.500 0.500 0.500

---

Entry 4:
meta-GGA SCAN ZrScTc2, single point on PBEsol structure; E_form = -32 kJ/mol of atoms; Fermi-level density of states = 0.643 states/eV/atom; space-group type = Imm2, No. 44; mass density = 8.2 Mg/m³
1.0
-1.593 2.239 4.735
1.593 -2.239 4.735
1.593 2.239 -4.735
Zr Sc Tc
1 1 2
Direct
0.000 0.000 0.000
0.271 0.771 0.500
0.527 0.527 0.000
0.748 0.248 0.500

---

Entry 5:
meta-GGA SCAN Sc2Te3, single point on PBEsol structure; formation energy (no corrections) = -1.318 eV per atom; Fermi-level density of states = 0.013 states/eV/atom; space-group type = Immm, No. 71; mass density = 5.5 Mg/m³
1.0
-2.012 2.886 6.192
2.012 -2.886 6.192
2.012 2.886 -6.192
Sc Te
2 3
Direct
0.166 0.166 0.000
0.834 0.834 0.000
0.000 0.500 0.500
0.333 0.833 0.500
0.667 0.167 0.500

---

Entry 6:
meta-GGA SCAN ScTe3, single point on PBEsol structure; formation energy (no corrections) = -0.537 eV per atom; Fermi-level density of states = 0.360 states/eV/atom; space-group type = P4/mmm, No. 123; mass density = 7.1 Mg/m³
1.0
3.696 0.000 0.000
0.000 3.696 0.000
0.000 0.000 7.350
Sc Te
1 3
Direct
0.000 0.000 0.000
0.000 0.000 0.500
0.500 0.500 0.207
0.500 0.500 0.793